1.
! La2TlC | Alexandria | PBE | optimized geometry; values from VASP
&SYSTEM
  ibrav = 0, nat = 16, ntyp = 3
/
ATOMIC_SPECIES
La 138.91 La.upf
Tl 204.38 Tl.upf
C 12.01 C.upf
CELL_PARAMETERS angstrom
7.5019 0.0000 0.0000
0.0000 7.5019 0.0000
0.0000 0.0000 8.3594
ATOMIC_POSITIONS crystal
La 0.1568 0.2500 0.1250
La 0.2500 0.6568 0.3750
La 0.2500 0.8432 0.8750
La 0.3432 0.2500 0.6250
La 0.6568 0.7500 0.6250
La 0.7500 0.1568 0.8750
La 0.7500 0.3432 0.3750
La 0.8432 0.7500 0.1250
Tl 0.0000 0.0000 0.5000
Tl 0.0000 0.5000 0.7500
Tl 0.5000 0.0000 0.2500
Tl 0.5000 0.5000 0.0000
C 0.0000 0.0000 0.0000
C 0.0000 0.5000 0.2500
C 0.5000 0.0000 0.7500
C 0.5000 0.5000 0.5000
! - energy of formation from the pure elements (kJ/mol of formula units) = -17
! - calculated total energy (eV per atom) = -5.406

2.
! La2TlC2 | Alexandria | PBE | optimized geometry; values from VASP
&SYSTEM
  ibrav = 0, nat = 10, ntyp = 3
/
ATOMIC_SPECIES
La 138.91 La.upf
Tl 204.38 Tl.upf
C 12.01 C.upf
CELL_PARAMETERS angstrom
8.6612 -2.0393 0.0000
8.6612 2.0393 0.0000
-2.5281 0.0000 6.7043
ATOMIC_POSITIONS crystal
La 0.0058 0.6824 0.8913
La 0.3176 0.9942 0.6087
La 0.6824 0.0058 0.3913
La 0.9942 0.3176 0.1087
Tl 0.4604 0.5396 0.7500
Tl 0.5396 0.4604 0.2500
C 0.1421 0.4007 0.4773
C 0.4007 0.1421 0.9773
C 0.5993 0.8579 0.0227
C 0.8579 0.5993 0.5227
! - energy of formation from the pure elements (kJ/mol of formula units) = -137
! - calculated total energy (eV per atom) = -6.418

3.
! La2TlC | Alexandria | PBE | optimized geometry; values from VASP
&SYSTEM
  ibrav = 0, nat = 12, ntyp = 3
/
ATOMIC_SPECIES
La 138.91 La.upf
Tl 204.38 Tl.upf
C 12.01 C.upf
CELL_PARAMETERS angstrom
3.6947 0.0000 0.0000
-1.8474 3.1997 0.0000
0.0000 0.0000 29.6378
ATOMIC_POSITIONS crystal
La 0.0000 0.0000 0.1176
La 0.0000 0.0000 0.8824
La 0.3333 0.6667 0.5490
La 0.3333 0.6667 0.7843
La 0.6667 0.3333 0.2157
La 0.6667 0.3333 0.4510
Tl 0.0000 0.0000 0.0000
Tl 0.3333 0.6667 0.6667
Tl 0.6667 0.3333 0.3333
C 0.0000 0.0000 0.5000
C 0.3333 0.6667 0.1667
C 0.6667 0.3333 0.8333
! - energy of formation from the pure elements (kJ/mol of formula units) = -38
! - calculated total energy (eV per atom) = -5.459

4.
! LaTlC2 | Alexandria | PBE | optimized geometry; values from VASP
&SYSTEM
  ibrav = 0, nat = 16, ntyp = 3
/
ATOMIC_SPECIES
La 138.91 La.upf
Tl 204.38 Tl.upf
C 12.01 C.upf
CELL_PARAMETERS angstrom
5.1997 0.0000 0.0000
0.0000 5.1997 0.0000
0.0000 0.0000 12.4685
ATOMIC_POSITIONS crystal
La 0.0000 0.0000 0.0000
La 0.0000 0.5000 0.2500
La 0.5000 0.0000 0.7500
La 0.5000 0.5000 0.5000
Tl 0.0000 0.0000 0.5000
Tl 0.0000 0.5000 0.7500
Tl 0.5000 0.0000 0.2500
Tl 0.5000 0.5000 0.0000
C 0.2230 0.2500 0.6250
C 0.2500 0.7230 0.8750
C 0.2500 0.7770 0.3750
C 0.2770 0.2500 0.1250
C 0.7230 0.7500 0.1250
C 0.7500 0.2230 0.3750
C 0.7500 0.2770 0.8750
C 0.7770 0.7500 0.6250
! - energy of formation from the pure elements (kJ/mol of formula units) = 489
! - calculated total energy (eV per atom) = -5.168

5.
! La2TlC | Alexandria | PBE | optimized geometry; values from VASP
&SYSTEM
  ibrav = 0, nat = 16, ntyp = 3
/
ATOMIC_SPECIES
La 138.91 La.upf
Tl 204.38 Tl.upf
C 12.01 C.upf
CELL_PARAMETERS angstrom
7.4143 0.0000 0.0000
0.0000 7.4143 0.0000
0.0000 0.0000 7.4143
ATOMIC_POSITIONS crystal
La 0.2500 0.2500 0.2500
La 0.2500 0.2500 0.7500
La 0.2500 0.7500 0.2500
La 0.2500 0.7500 0.7500
La 0.7500 0.2500 0.2500
La 0.7500 0.2500 0.7500
La 0.7500 0.7500 0.2500
La 0.7500 0.7500 0.7500
Tl 0.0000 0.0000 0.0000
Tl 0.0000 0.5000 0.5000
Tl 0.5000 0.0000 0.5000
Tl 0.5000 0.5000 0.0000
C 0.0000 0.0000 0.5000
C 0.0000 0.5000 0.0000
C 0.5000 0.0000 0.0000
C 0.5000 0.5000 0.5000
! - energy of formation from the pure elements (kJ/mol of formula units) = 233
! - calculated total energy (eV per atom) = -4.759

6.
! La6Tl3C | Alexandria | PBE | optimized geometry; values from VASP
&SYSTEM
  ibrav = 0, nat = 20, ntyp = 3
/
ATOMIC_SPECIES
La 138.91 La.upf
Tl 204.38 Tl.upf
C 12.01 C.upf
CELL_PARAMETERS angstrom
6.7076 0.0000 0.0000
0.0000 8.7299 0.0000
-5.7791 0.0000 10.9669
ATOMIC_POSITIONS crystal
La 0.0880 0.0473 0.2213
La 0.0880 0.4527 0.7213
La 0.1588 0.7213 0.0578
La 0.1588 0.7787 0.5578
La 0.3862 0.1394 0.0499
La 0.3862 0.3606 0.5499
La 0.6138 0.6394 0.4501
La 0.6138 0.8606 0.9501
La 0.8412 0.2213 0.4422
La 0.8412 0.2787 0.9422
La 0.9120 0.5473 0.2787
La 0.9120 0.9527 0.7787
Tl 0.3300 0.1126 0.7348
Tl 0.3300 0.3874 0.2348
Tl 0.5000 0.0000 0.5000
Tl 0.5000 0.5000 0.0000
Tl 0.6700 0.6126 0.7652
Tl 0.6700 0.8874 0.2652
C 0.0000 0.0000 0.0000
C 0.0000 0.5000 0.5000
! - energy of formation from the pure elements (kJ/mol of formula units) = -252
! - calculated total energy (eV per atom) = -4.850

7.
! LaTl2C | Alexandria | PBE | optimized geometry; values from VASP
&SYSTEM
  ibrav = 0, nat = 16, ntyp = 3
/
ATOMIC_SPECIES
La 138.91 La.upf
Tl 204.38 Tl.upf
C 12.01 C.upf
CELL_PARAMETERS angstrom
8.9864 0.0000 0.0000
0.0000 8.9864 0.0000
0.0000 0.0000 5.1266
ATOMIC_POSITIONS crystal
La 0.0000 0.0000 0.0000
La 0.0000 0.5000 0.2500
La 0.5000 0.0000 0.7500
La 0.5000 0.5000 0.5000
Tl 0.1539 0.2500 0.6250
Tl 0.2500 0.6539 0.8750
Tl 0.2500 0.8461 0.3750
Tl 0.3461 0.2500 0.1250
Tl 0.6539 0.7500 0.1250
Tl 0.7500 0.1539 0.3750
Tl 0.7500 0.3461 0.8750
Tl 0.8461 0.7500 0.6250
C 0.0000 0.0000 0.5000
C 0.0000 0.5000 0.7500
C 0.5000 0.0000 0.2500
C 0.5000 0.5000 0.0000
! - energy of formation from the pure elements (kJ/mol of formula units) = 215
! - calculated total energy (eV per atom) = -4.163

8.
! LaTl2C | Alexandria | PBE | optimized geometry; values from VASP
&SYSTEM
  ibrav = 0, nat = 16, ntyp = 3
/
ATOMIC_SPECIES
La 138.91 La.upf
Tl 204.38 Tl.upf
C 12.01 C.upf
CELL_PARAMETERS angstrom
7.3669 0.0000 0.0000
0.0000 7.3669 0.0000
0.0000 0.0000 7.3669
ATOMIC_POSITIONS crystal
La 0.0000 0.0000 0.0000
La 0.0000 0.5000 0.5000
La 0.5000 0.0000 0.5000
La 0.5000 0.5000 0.0000
Tl 0.2500 0.2500 0.2500
Tl 0.2500 0.2500 0.7500
Tl 0.2500 0.7500 0.2500
Tl 0.2500 0.7500 0.7500
Tl 0.7500 0.2500 0.2500
Tl 0.7500 0.2500 0.7500
Tl 0.7500 0.7500 0.2500
Tl 0.7500 0.7500 0.7500
C 0.0000 0.0000 0.5000
C 0.0000 0.5000 0.0000
C 0.5000 0.0000 0.0000
C 0.5000 0.5000 0.5000
! - energy of formation from the pure elements (kJ/mol of formula units) = 420
! - calculated total energy (eV per atom) = -3.632

9.
! LaTlC2 | Alexandria | PBE | optimized geometry; values from VASP
&SYSTEM
  ibrav = 0, nat = 16, ntyp = 3
/
ATOMIC_SPECIES
La 138.91 La.upf
Tl 204.38 Tl.upf
C 12.01 C.upf
CELL_PARAMETERS angstrom
6.4402 0.0000 0.0000
0.0000 6.4402 0.0000
0.0000 0.0000 6.4402
ATOMIC_POSITIONS crystal
La 0.0000 0.0000 0.0000
La 0.0000 0.5000 0.5000
La 0.5000 0.0000 0.5000
La 0.5000 0.5000 0.0000
Tl 0.0000 0.0000 0.5000
Tl 0.0000 0.5000 0.0000
Tl 0.5000 0.0000 0.0000
Tl 0.5000 0.5000 0.5000
C 0.2500 0.2500 0.2500
C 0.2500 0.2500 0.7500
C 0.2500 0.7500 0.2500
C 0.2500 0.7500 0.7500
C 0.7500 0.2500 0.2500
C 0.7500 0.2500 0.7500
C 0.7500 0.7500 0.2500
C 0.7500 0.7500 0.7500
! - energy of formation from the pure elements (kJ/mol of formula units) = 520
! - calculated total energy (eV per atom) = -5.087

10.
! La6Tl2C | Alexandria | PBE | optimized geometry; values from VASP
&SYSTEM
  ibrav = 0, nat = 18, ntyp = 3
/
ATOMIC_SPECIES
La 138.91 La.upf
Tl 204.38 Tl.upf
C 12.01 C.upf
CELL_PARAMETERS angstrom
7.4846 0.0000 0.0000
0.0000 7.4846 0.0000
0.0000 0.0000 11.6988
ATOMIC_POSITIONS crystal
La 0.1901 0.1901 0.1451
La 0.1901 0.1901 0.8549
La 0.2381 0.7619 0.0000
La 0.2619 0.2619 0.5000
La 0.3099 0.6901 0.3549
La 0.3099 0.6901 0.6451
La 0.6901 0.3099 0.3549
La 0.6901 0.3099 0.6451
La 0.7381 0.7381 0.5000
La 0.7619 0.2381 0.0000
La 0.8099 0.8099 0.1451
La 0.8099 0.8099 0.8549
Tl 0.0000 0.0000 0.3618
Tl 0.0000 0.0000 0.6382
Tl 0.5000 0.5000 0.1382
Tl 0.5000 0.5000 0.8618
C 0.0000 0.0000 0.0000
C 0.5000 0.5000 0.5000
! - energy of formation from the pure elements (kJ/mol of formula units) = -11
! - calculated total energy (eV per atom) = -4.849

11.
! La4Tl2C | Alexandria | PBE | optimized geometry; values from VASP
&SYSTEM
  ibrav = 0, nat = 14, ntyp = 3
/
ATOMIC_SPECIES
La 138.91 La.upf
Tl 204.38 Tl.upf
C 12.01 C.upf
CELL_PARAMETERS angstrom
5.3413 0.0000 0.0000
0.0000 5.3413 0.0000
0.0000 0.0000 15.6703
ATOMIC_POSITIONS crystal
La 0.0000 0.0000 0.1637
La 0.0000 0.0000 0.8363
La 0.0000 0.5000 0.0000
La 0.0000 0.5000 0.5000
La 0.5000 0.0000 0.0000
La 0.5000 0.0000 0.5000
La 0.5000 0.5000 0.3363
La 0.5000 0.5000 0.6637
Tl 0.0000 0.0000 0.3713
Tl 0.0000 0.0000 0.6287
Tl 0.5000 0.5000 0.1287
Tl 0.5000 0.5000 0.8713
C 0.0000 0.0000 0.0000
C 0.5000 0.5000 0.5000
! - energy of formation from the pure elements (kJ/mol of formula units) = -189
! - calculated total energy (eV per atom) = -5.089

12.
! La3Tl2C | Alexandria | PBE | optimized geometry; values from VASP
&SYSTEM
  ibrav = 0, nat = 12, ntyp = 3
/
ATOMIC_SPECIES
La 138.91 La.upf
Tl 204.38 Tl.upf
C 12.01 C.upf
CELL_PARAMETERS angstrom
5.2776 0.0000 0.0000
0.0000 16.9156 0.0000
0.0000 0.0000 3.7963
ATOMIC_POSITIONS crystal
La 0.0000 0.0000 0.0000
La 0.0000 0.3908 0.5000
La 0.0000 0.6092 0.5000
La 0.5000 0.1092 0.5000
La 0.5000 0.5000 0.0000
La 0.5000 0.8908 0.5000
Tl 0.0000 0.1964 0.0000
Tl 0.0000 0.8036 0.0000
Tl 0.5000 0.3036 0.0000
Tl 0.5000 0.6964 0.0000
C 0.0000 0.5000 0.0000
C 0.5000 0.0000 0.0000
! - energy of formation from the pure elements (kJ/mol of formula units) = -180
! - calculated total energy (eV per atom) = -5.100